1.
# KBa2Tc

An optimized crystal structure of KBa2Tc (PBE, the Alexandria database).

a = 5.846 Å, b = 5.846 Å, c = 4.706 Å
α = 90.00°, β = 90.00°, γ = 90.00°
Fractional coordinates of all 4 atoms:
K  0.000  0.000  0.000
Ba  0.000  0.500  0.500
Ba  0.500  0.000  0.500
Tc  0.500  0.500  0.000

## Properties
E_tot in eV per atom: -2.877
Energy of formation from the pure elements in eV per formula unit: 3.8
SG: No. 123

2.
# KBa2Tc

An optimized crystal structure of KBa2Tc (PBE, the Alexandria database).

a = 4.812 Å, b = 4.812 Å, c = 11.273 Å
α = 96.08°, β = 96.08°, γ = 50.93°
Fractional coordinates of all 4 atoms:
K  0.000  0.000  0.000
Ba  0.221  0.221  0.657
Ba  0.779  0.779  0.343
Tc  0.500  0.500  0.500

## Properties
E_tot in eV per atom: -3.095
Energy of formation from the pure elements in eV per formula unit: 2.9
SG: No. 12

3.
# KBaTc2

An optimized crystal structure of KBaTc2 (PBE, the Alexandria database).

a = 3.132 Å, b = 5.577 Å, c = 7.258 Å
α = 90.00°, β = 90.11°, γ = 90.00°
Fractional coordinates of all 4 atoms:
K  0.000  0.000  0.000
Ba  0.000  0.000  0.500
Tc  0.500  0.500  0.353
Tc  0.500  0.500  0.647

## Properties
E_tot in eV per atom: -4.823
Energy of formation from the pure elements in eV per formula unit: 4.5
SG: No. 10